Entry 1:
A crystal of LiTaFeTc2 relaxed with PBEsol, computed with meta-GGA SCAN.

Summary:
Formation enthalpy at 0 K   4.62 eV/f.u.
Density   9889 kg/m³

Lattice parameters (Å, degrees): 4.3669 4.3669 3.8719 90.00 90.00 90.00
Element x y z (fractional)
1 Li 0.0000 0.0000 0.0000
2 Ta 0.5000 0.5000 0.0000
3 Fe 0.0000 0.0000 0.5000
4 Tc 0.0000 0.5000 0.5000
5 Tc 0.5000 0.0000 0.5000

Entry 2:
A crystal of LaInAs relaxed with PBEsol, computed with meta-GGA SCAN.

Summary:
Formation enthalpy at 0 K   -1.25 eV/f.u.
Density   6049 kg/m³

Lattice parameters (Å, degrees): 5.0343 5.0343 5.0343 60.00 60.00 60.00
Element x y z (fractional)
1 La 0.0000 0.0000 0.0000
2 In 0.2500 0.2500 0.2500
3 As 0.7500 0.7500 0.7500

Entry 3:
A crystal of CdIn3Cu relaxed with PBEsol, computed with meta-GGA SCAN.

Summary:
Formation enthalpy at 0 K   0.90 eV/f.u.
Density   6915 kg/m³

Lattice parameters (Å, degrees): 4.9995 4.9995 4.9995 90.00 90.00 90.00
Element x y z (fractional)
1 Cd 0.0000 0.0000 0.0000
2 In 0.0000 0.5000 0.5000
3 In 0.5000 0.0000 0.5000
4 In 0.5000 0.5000 0.0000
5 Cu 0.5000 0.5000 0.5000

Entry 4:
A crystal of Ga3Pb5F19 relaxed with PBEsol, computed with meta-GGA SCAN.

Summary:
Formation energy (no corrections)   -2627.8 meV per atom
Density   6865 kg/m³

Lattice parameters (Å, degrees): 10.7549 10.7549 10.7549 97.38 97.38 138.01
Element x y z (fractional)
1 Ga 0.0000 0.0000 0.0000
2 Ga 0.1236 0.6236 0.1798
3 Ga 0.4438 0.9438 0.8202
4 Ga 0.5000 0.5000 0.0000
5 Ga 0.6236 0.4438 0.5000
6 Ga 0.9438 0.1236 0.5000
7 Pb 0.0593 0.9100 0.2972
8 Pb 0.1128 0.4100 0.8507
9 Pb 0.2621 0.1128 0.7028
10 Pb 0.4100 0.5593 0.2972
11 Pb 0.4323 0.9323 0.5000
12 Pb 0.5593 0.2621 0.1493
13 Pb 0.6128 0.7621 0.7028
14 Pb 0.7621 0.0593 0.1493
15 Pb 0.9100 0.6128 0.8507
16 Pb 0.9323 0.4323 0.5000
17 F 0.0048 0.2555 0.3710
18 F 0.0278 0.3802 0.1346
19 F 0.0439 0.1095 0.1754
20 F 0.1081 0.6081 0.3518
21 F 0.1095 0.9341 0.0656
22 F 0.1188 0.1253 0.5000
23 F 0.1253 0.6253 0.0065
24 F 0.1338 0.3844 0.6290
25 F 0.2040 0.9415 0.5000
26 F 0.2458 0.2458 0.0000
27 F 0.2456 0.8932 0.8654
28 F 0.2555 0.8844 0.2506
29 F 0.2562 0.7562 0.6482
30 F 0.3685 0.4341 0.8246
31 F 0.3802 0.2456 0.3524
32 F 0.3844 0.7555 0.2506
33 F 0.3932 0.7456 0.8654
34 F 0.4341 0.6095 0.0656
35 F 0.4415 0.7040 0.5000
36 F 0.5048 0.1338 0.7494
37 F 0.5278 0.3932 0.6476
38 F 0.5439 0.3685 0.9344
39 F 0.6081 0.2562 0.5000
40 F 0.6095 0.5439 0.1754
41 F 0.6188 0.1188 0.9935
42 F 0.6253 0.6188 0.5000
43 F 0.6338 0.0048 0.7494
44 F 0.7040 0.2040 0.2625
45 F 0.7458 0.7458 0.0000
46 F 0.7456 0.8802 0.3524
47 F 0.7555 0.5048 0.3710
48 F 0.7562 0.1081 0.5000
49 F 0.8685 0.0439 0.9344
50 F 0.8802 0.5278 0.1346
51 F 0.8844 0.6338 0.6290
52 F 0.8932 0.0278 0.6476
53 F 0.9341 0.8685 0.8246
54 F 0.9415 0.4415 0.7375

Entry 5:
A crystal of ScSbRu2 relaxed with PBEsol, computed with meta-GGA SCAN.

Summary:
Formation energy (no corrections)   -59.6 meV per atom
Density   9314 kg/m³

Lattice parameters (Å, degrees): 4.5307 4.5307 4.5307 60.00 60.00 60.00
Element x y z (fractional)
1 Sc 0.0000 0.0000 0.0000
2 Sb 0.7500 0.7500 0.7500
3 Ru 0.2500 0.2500 0.2500
4 Ru 0.5000 0.5000 0.5000

Entry 6:
A crystal of TcGeSeS2 relaxed with PBEsol, computed with meta-GGA SCAN.

Summary:
Formation energy (no corrections)   804.9 meV per atom
Density   5021 kg/m³

Lattice parameters (Å, degrees): 4.5518 4.5518 5.0077 90.00 90.00 90.00
Element x y z (fractional)
1 Tc 0.0000 0.0000 0.0000
2 Ge 0.5000 0.5000 0.5000
3 Se 0.5000 0.5000 0.0000
4 S 0.0000 0.5000 0.5000
5 S 0.5000 0.0000 0.5000

Entry 7:
A crystal of LaMg3Pt relaxed with PBEsol, computed with meta-GGA SCAN.

Summary:
Formation enthalpy at 0 K   -2.69 eV/f.u.
Density   5458 kg/m³

Lattice parameters (Å, degrees): 4.9838 4.9838 4.9838 90.00 90.00 90.00
Element x y z (fractional)
1 La 0.0000 0.0000 0.0000
2 Mg 0.0000 0.5000 0.5000
3 Mg 0.5000 0.0000 0.5000
4 Mg 0.5000 0.5000 0.0000
5 Pt 0.5000 0.5000 0.5000

Entry 8:
A crystal of Ba4SmCu3O9 relaxed with PBEsol, computed with meta-GGA SCAN.

Summary:
Formation energy (no corrections)   -2240.1 meV per atom
Density   6481 kg/m³

Lattice parameters (Å, degrees): 8.0926 8.0926 8.0926 90.00 90.00 90.00
Element x y z (fractional)
1 Ba 0.2500 0.2500 0.2500
2 Ba 0.2500 0.2500 0.7500
3 Ba 0.2500 0.7500 0.2500
4 Ba 0.2500 0.7500 0.7500
5 Ba 0.7500 0.2500 0.2500
6 Ba 0.7500 0.2500 0.7500
7 Ba 0.7500 0.7500 0.2500
8 Ba 0.7500 0.7500 0.7500
9 Sm 0.0000 0.0000 0.0000
10 Sm 0.5000 0.5000 0.5000
11 Cu 0.0000 0.0000 0.5000
12 Cu 0.0000 0.5000 0.0000
13 Cu 0.0000 0.5000 0.5000
14 Cu 0.5000 0.0000 0.0000
15 Cu 0.5000 0.0000 0.5000
16 Cu 0.5000 0.5000 0.0000
17 O 0.0000 0.0000 0.2765
18 O 0.0000 0.0000 0.7235
19 O 0.0000 0.2500 0.5000
20 O 0.0000 0.2765 0.0000
21 O 0.0000 0.7235 0.0000
22 O 0.0000 0.7500 0.5000
23 O 0.2235 0.5000 0.5000
24 O 0.2500 0.5000 0.0000
25 O 0.2765 0.0000 0.0000
26 O 0.5000 0.0000 0.2500
27 O 0.5000 0.0000 0.7500
28 O 0.5000 0.2235 0.5000
29 O 0.5000 0.5000 0.2235
30 O 0.5000 0.5000 0.7765
31 O 0.5000 0.7765 0.5000
32 O 0.7235 0.0000 0.0000
33 O 0.7500 0.5000 0.0000
34 O 0.7765 0.5000 0.5000

Entry 9:
A crystal of SmLuTl2 relaxed with PBEsol, computed with meta-GGA SCAN.

Summary:
Formation enthalpy at 0 K   -2.03 eV/f.u.
Density   11788 kg/m³

Lattice parameters (Å, degrees): 5.2686 5.2686 5.2686 60.00 60.00 60.00
Element x y z (fractional)
1 Sm 0.0000 0.0000 0.0000
2 Lu 0.5000 0.5000 0.5000
3 Tl 0.2500 0.2500 0.2500
4 Tl 0.7500 0.7500 0.7500

Entry 10:
A crystal of KHg2Ru relaxed with PBEsol, computed with meta-GGA SCAN.

Summary:
Formation enthalpy at 0 K   1.71 eV/f.u.
Density   8926 kg/m³

Lattice parameters (Å, degrees): 2.9352 4.4440 7.7205 90.00 90.00 90.00
Element x y z (fractional)
1 K 0.0000 0.0000 0.0000
2 Hg 0.0000 0.0000 0.4096
3 Hg 0.5000 0.5000 0.7027
4 Ru 0.5000 0.5000 0.3528

Entry 11:
A crystal of CrAs2HBr relaxed with PBEsol, computed with meta-GGA SCAN.

Summary:
Density   4400 kg/m³
Calculated total energy   -15.712 eV/atom

Lattice parameters (Å, degrees): 4.5030 4.5030 5.2627 90.00 90.00 90.00
Element x y z (fractional)
1 Cr 0.0000 0.0000 0.0000
2 As 0.0000 0.5000 0.0000
3 As 0.5000 0.0000 0.0000
4 H 0.5000 0.5000 0.5000
5 Br 0.0000 0.0000 0.5000

Entry 12:
A crystal of Ba3BiC relaxed with PBEsol, computed with meta-GGA SCAN.

Summary:
Formation enthalpy at 0 K   4.25 eV/f.u.
Density   3625 kg/m³

Lattice parameters (Å, degrees): 6.6188 6.6188 6.6188 90.00 90.00 90.00
Element x y z (fractional)
1 Ba 0.0000 0.0000 0.5000
2 Ba 0.0000 0.5000 0.0000
3 Ba 0.5000 0.0000 0.0000
4 Bi 0.0000 0.0000 0.0000
5 C 0.5000 0.5000 0.5000